# Li3Ac3VO8

An optimized crystal structure of Li3Ac3VO8 (PBE+U, Alexandria via LeMat-Bulk).

a b c (Å): 10.430 7.369 6.570
angles (deg): 90.00 117.66 90.00
Space group C2/m (No. 12)
One atom of each set of equivalent atoms:
1 Li 0.000 0.000 0.000 [2 per cell]
2 Li 0.250 0.250 0.500 [4 per cell]
3 Ac 0.000 0.500 0.500 [2 per cell]
4 Ac 0.250 0.250 0.000 [4 per cell]
5 V 0.000 0.000 0.500 [2 per cell]
6 O 0.011 0.210 0.293 [8 per cell]
7 O 0.208 0.000 0.697 [4 per cell]
8 O 0.246 0.000 0.233 [4 per cell]

Computed properties:
- V (A^3/atom) = 14.91
- raw total energy (eV/cell) = -203.018
- magnetization (μB/f.u.) = 1.0